1.
This record from Alexandria via LeMat-Bulk describes crystalline Mn2SnPd3 at its relaxed geometry. The functional is PBE.

a = 4.486 Å, b = 4.486 Å, c = 11.102 Å
α = 90.00°, β = 90.00°, γ = 120.00°
Site moments in Bohr magnetons follow the coordinates.
Atoms (fractional coordinates):
Mn (0.000, 0.000, 0.500)  3.90
Mn (0.333, 0.667, 0.162)  3.91
Mn (0.667, 0.333, 0.838)  3.91
Mn (0.000, 0.000, 0.000)  3.96
Sn (0.333, 0.667, 0.670)  -0.06
Sn (0.667, 0.333, 0.330)  -0.06
Pd (0.333, 0.667, 0.418)  0.08
Pd (0.667, 0.333, 0.078)  0.26
Pd (0.000, 0.000, 0.758)  0.12
Pd (0.000, 0.000, 0.242)  0.12
Pd (0.333, 0.667, 0.922)  0.26
Pd (0.667, 0.333, 0.582)  0.08

Properties
total magnetization = 8.549 μB/f.u.
E_form = -324 meV/atom
total energy = -6.644 eV per atom
D(E_F) = 5.739 states/eV/cell


2.
This record from Alexandria via LeMat-Bulk describes crystalline MnSn2Pd7 at its relaxed geometry. The functional is PBE.

a = 2.938 Å, b = 8.980 Å, c = 8.980 Å
α = 127.20°, β = 90.00°, γ = 90.00°
Site moments in Bohr magnetons follow the coordinates.
Atoms (fractional coordinates):
Mn (0.000, 0.000, 0.000)  3.87
Sn (0.500, 0.670, 0.330)  0.00
Sn (0.500, 0.330, 0.670)  0.00
Pd (0.000, 0.807, 0.193)  0.02
Pd (0.000, 0.193, 0.807)  0.02
Pd (0.500, 0.117, 0.296)  0.13
Pd (0.500, 0.883, 0.704)  0.13
Pd (0.500, 0.296, 0.117)  0.13
Pd (0.500, 0.704, 0.883)  0.13
Pd (0.500, 0.500, 0.500)  0.04

Properties
total magnetization = 4.639 μB/f.u.
E_form = -65 meV/atom
total energy = -5.418 eV per atom
D(E_F) = 5.144 states/eV/cell


- Which formula does entry 2 have?
  MnSn2Pd7


- Among the records above, which one has the lowest total magnetization?
  MnSn2Pd7